Below is crystalline TcAgAu at its relaxed geometry, with properties calculated at the GGA-PBE level.

a b c (Å): 6.3042 6.3042 6.3042
angles (deg): 90.00 90.00 90.00
Last column: nearest neighbours and their distance in Å.
Space group F-43m (No. 216)
One atom of each set of equivalent atoms:
Tc  0.0000  0.0000  0.0000  4 Au 2.73
Ag  0.0000  0.0000  0.5000  4 Au 2.73
Au  0.2500  0.2500  0.2500  4 Tc 2.73, 4 Ag 2.73

Values from the calculation:
Energy of formation: 2.8 eV/f.u.
D(E_F): 3.66 states/eV/f.u.
Excess energy over the best structure of this formula in the dataset: 629 meV per atom
Energy: -4.55 eV/atom